This record from the Open Quantum Materials Database describes crystalline TbNb2N4 at its relaxed geometry. The functional is PBE.

Calculated values
* M_tot: 0.0 μB per cell
* raw total energy: -66.3 eV/f.u.

abc: 3.1356 10.2421 10.3733
angles: 90.00 90.00 90.00
Closest atoms and distances in Å follow each position.
Space group Cmcm (No. 63)
Inequivalent atoms, fractional coordinates:
1 Tb 0.0000 0.1157 0.2500 [4 per cell]  6 N 2.37-2.42
2 Nb 0.0000 0.3706 0.0676 [8 per cell]  6 N 2.03-2.17
3 N 0.0000 0.0000 0.0000 [4 per cell]  4 Nb 2.17
4 N 0.0000 0.2686 0.6142 [8 per cell]  3 Nb 2.16-2.17
5 N 0.0000 0.4427 0.2500 [4 per cell]  2 Nb 2.03